Material: BaV3C
Method: DFT, PBE
State: optimized geometry

Values from the calculation:
calculated density	4.67	Mg/m³
E_tot	-4.05	eV per atom
Fermi-level density of states	4.66	states/eV per cell

```
data_BaV3C
_chemical_formula_sum 'Ba1 V3 C1'
_cell_length_a 4.753
_cell_length_b 4.753
_cell_length_c 4.753
_cell_angle_alpha 90.00
_cell_angle_beta 90.00
_cell_angle_gamma 90.00
_symmetry_space_group_name_H-M 'P m -3 m'
_symmetry_Int_Tables_number 221
_symmetry_space_group_name_Hall '-P 4 2 3'
loop_
_atom_site_label
_atom_site_type_symbol
_atom_site_fract_x
_atom_site_fract_y
_atom_site_fract_z
Ba1 Ba 0.000 0.000 0.000
V1 V 0.000 0.000 0.500
C1 C 0.500 0.500 0.500
```